1.
Computed, not measured: a relaxed Li2AlPd crystal at the PBE-GGA level of DFT.

Computed properties:
Volume ... 56.7 Å³ per cell
Crystal system ... cubic
VASP energy ... -3.724 eV/atom
ΔE_f ... -0.53 eV per atom

Lattice parameters (Å, degrees): 4.3115 4.3115 4.3115 60.00 60.00 60.00
Fractional positions:
Li: 0.0000 0.0000 0.0000
Li: 0.2500 0.2500 0.2500
Al: 0.7500 0.7500 0.7500
Pd: 0.5000 0.5000 0.5000

=====

2.
Computed, not measured: a relaxed LiAl2Pd7 crystal at the PBE-GGA level of DFT.

Computed properties:
Volume ... 190.2 Å³ per cell
Crystal system ... orthorhombic
VASP energy ... -4.701 eV/atom
ΔE_f ... -0.13 eV per atom

Lattice parameters (Å, degrees): 7.0587 7.0587 4.3288 90.00 90.00 118.15
Fractional positions:
Li: 0.0000 0.0000 0.0000
Al: 0.2982 0.7018 0.5000
Al: 0.7018 0.2982 0.5000
Pd: 0.0721 0.3092 0.5000
Pd: 0.2069 0.7931 0.0000
Pd: 0.3092 0.0721 0.5000
Pd: 0.5000 0.5000 0.5000
Pd: 0.6908 0.9279 0.5000
Pd: 0.7931 0.2069 0.0000
Pd: 0.9279 0.6908 0.5000

=====

> Among the records above, which one has the highest volume?

LiAl2Pd7

=====

> Which of these has the highest VASP energy?

Li2AlPd

=====

What did the second record say?
Computed, not measured: a relaxed LiAl2Pd7 crystal at the PBE-GGA level of DFT.

Computed properties:
Volume ... 190.2 Å³ per cell
Crystal system ... orthorhombic
VASP energy ... -4.701 eV/atom
ΔE_f ... -0.13 eV per atom

Lattice parameters (Å, degrees): 7.0587 7.0587 4.3288 90.00 90.00 118.15
Fractional positions:
Li: 0.0000 0.0000 0.0000
Al: 0.2982 0.7018 0.5000
Al: 0.7018 0.2982 0.5000
Pd: 0.0721 0.3092 0.5000
Pd: 0.2069 0.7931 0.0000
Pd: 0.3092 0.0721 0.5000
Pd: 0.5000 0.5000 0.5000
Pd: 0.6908 0.9279 0.5000
Pd: 0.7931 0.2069 0.0000
Pd: 0.9279 0.6908 0.5000